# 1
Entry from Alexandria: a geometry-optimized Li5Mg2AgHg2 structure (PBE).

Results
- E_tot: -1.808 eV/atom
- Size of the total moment: 0.00 Bohr magnetons per cell

The structure in CIF format:
```
data_Li5Mg2AgHg2
_cell_length_a 9.9514
_cell_length_b 9.9514
_cell_length_c 3.9166
_cell_angle_alpha 90.00
_cell_angle_beta 90.00
_cell_angle_gamma 90.00
_symmetry_space_group_name_H-M 'P 1'
_symmetry_Int_Tables_number 1
loop_
_symmetry_equiv_pos_as_xyz
'x,y,z'
loop_
_atom_site_label
_atom_site_type_symbol
_atom_site_fract_x
_atom_site_fract_y
_atom_site_fract_z
Li1 Li 0.0000 0.5000 0.0000
Li2 Li 0.0688 0.1881 0.0000
Li3 Li 0.1881 0.9312 0.0000
Li4 Li 0.3119 0.4312 0.0000
Li5 Li 0.4312 0.6881 0.0000
Li6 Li 0.5000 0.0000 0.0000
Li7 Li 0.5688 0.3119 0.0000
Li8 Li 0.6881 0.5688 0.0000
Li9 Li 0.8119 0.0688 0.0000
Li10 Li 0.9312 0.8119 0.0000
Mg1 Mg 0.1680 0.6680 0.5000
Mg2 Mg 0.3320 0.1680 0.5000
Mg3 Mg 0.6680 0.8320 0.5000
Mg4 Mg 0.8320 0.3320 0.5000
Ag1 Ag 0.0000 0.0000 0.5000
Ag2 Ag 0.5000 0.5000 0.5000
Hg1 Hg 0.1301 0.3699 0.5000
Hg2 Hg 0.3699 0.8699 0.5000
Hg3 Hg 0.6301 0.1301 0.5000
Hg4 Hg 0.8699 0.6301 0.5000
```


# 2
Entry from Alexandria: a geometry-optimized LiMg2AgHg structure (PBE).

Results
- E_tot: -1.801 eV/atom
- Size of the total moment: 0.00 Bohr magnetons per cell

The structure in CIF format:
```
data_LiMg2AgHg
_cell_length_a 5.5356
_cell_length_b 5.5356
_cell_length_c 8.7759
_cell_angle_alpha 93.39
_cell_angle_beta 93.39
_cell_angle_gamma 49.11
_symmetry_space_group_name_H-M 'P 1'
_symmetry_Int_Tables_number 1
loop_
_symmetry_equiv_pos_as_xyz
'x,y,z'
loop_
_atom_site_label
_atom_site_type_symbol
_atom_site_fract_x
_atom_site_fract_y
_atom_site_fract_z
Li1 Li 0.1305 0.1305 0.4623
Li2 Li 0.8695 0.8695 0.5377
Mg1 Mg 0.0556 0.0556 0.8300
Mg2 Mg 0.3380 0.3380 0.7201
Mg3 Mg 0.6620 0.6620 0.2799
Mg4 Mg 0.9444 0.9444 0.1700
Ag1 Ag 0.4030 0.4030 0.3775
Ag2 Ag 0.5970 0.5970 0.6225
Hg1 Hg 0.2279 0.2279 0.1065
Hg2 Hg 0.7721 0.7721 0.8935
```


# 3
Entry from Alexandria: a geometry-optimized Li2Mg4AgHg structure (PBE).

Results
- E_tot: -1.625 eV/atom
- Size of the total moment: 0.00 Bohr magnetons per cell

The structure in CIF format:
```
data_Li2Mg4AgHg
_cell_length_a 4.2037
_cell_length_b 4.2037
_cell_length_c 10.5009
_cell_angle_alpha 90.00
_cell_angle_beta 90.00
_cell_angle_gamma 90.00
_symmetry_space_group_name_H-M 'P 1'
_symmetry_Int_Tables_number 1
loop_
_symmetry_equiv_pos_as_xyz
'x,y,z'
loop_
_atom_site_label
_atom_site_type_symbol
_atom_site_fract_x
_atom_site_fract_y
_atom_site_fract_z
Li1 Li 0.0000 0.0000 0.1183
Li2 Li 0.0000 0.0000 0.8817
Mg1 Mg 0.0000 0.5000 0.3224
Mg2 Mg 0.0000 0.5000 0.6776
Mg3 Mg 0.5000 0.0000 0.3224
Mg4 Mg 0.5000 0.0000 0.6776
Ag1 Ag 0.5000 0.5000 0.5000
Hg1 Hg 0.5000 0.5000 0.0000
```


# 4
Entry from Alexandria: a geometry-optimized LiMg2Ag2Hg2 structure (PBE).

Results
- E_tot: -1.781 eV/atom
- Size of the total moment: 0.00 Bohr magnetons per cell

The structure in CIF format:
```
data_LiMg2Ag2Hg2
_cell_length_a 7.3980
_cell_length_b 7.3980
_cell_length_c 7.3980
_cell_angle_alpha 37.78
_cell_angle_beta 37.78
_cell_angle_gamma 37.78
_symmetry_space_group_name_H-M 'P 1'
_symmetry_Int_Tables_number 1
loop_
_symmetry_equiv_pos_as_xyz
'x,y,z'
loop_
_atom_site_label
_atom_site_type_symbol
_atom_site_fract_x
_atom_site_fract_y
_atom_site_fract_z
Li1 Li 0.0000 0.0000 0.0000
Mg1 Mg 0.1372 0.1372 0.1372
Mg2 Mg 0.8628 0.8628 0.8628
Ag1 Ag 0.2792 0.2792 0.2792
Ag2 Ag 0.7208 0.7208 0.7208
Hg1 Hg 0.4225 0.4225 0.4225
Hg2 Hg 0.5775 0.5775 0.5775
```


# 5
Entry from Alexandria: a geometry-optimized LiMg2Ag4Hg2 structure (PBE).

Results
- E_tot: -2.076 eV/atom
- Size of the total moment: 0.00 Bohr magnetons per cell

The structure in CIF format:
```
data_LiMg2Ag4Hg2
_cell_length_a 7.2619
_cell_length_b 7.2619
_cell_length_c 7.5782
_cell_angle_alpha 112.01
_cell_angle_beta 112.01
_cell_angle_gamma 27.30
_symmetry_space_group_name_H-M 'P 1'
_symmetry_Int_Tables_number 1
loop_
_symmetry_equiv_pos_as_xyz
'x,y,z'
loop_
_atom_site_label
_atom_site_type_symbol
_atom_site_fract_x
_atom_site_fract_y
_atom_site_fract_z
Li1 Li 0.0000 0.0000 0.0000
Mg1 Mg 0.1244 0.1244 0.6617
Mg2 Mg 0.8756 0.8756 0.3383
Ag1 Ag 0.2077 0.2077 0.3403
Ag2 Ag 0.4594 0.4594 0.6654
Ag3 Ag 0.5406 0.5406 0.3346
Ag4 Ag 0.7923 0.7923 0.6597
Hg1 Hg 0.3446 0.3446 0.9968
Hg2 Hg 0.6554 0.6554 0.0032
```


# 6
Entry from Alexandria: a geometry-optimized LiMnAgHg structure (PBE).

Results
- E_tot: -3.545 eV/atom
- Size of the total moment: 3.85 Bohr magnetons per cell

The structure in CIF format:
```
data_LiMnAgHg
_cell_length_a 4.5916
_cell_length_b 4.5916
_cell_length_c 4.5916
_cell_angle_alpha 60.00
_cell_angle_beta 60.00
_cell_angle_gamma 60.00
_symmetry_space_group_name_H-M 'P 1'
_symmetry_Int_Tables_number 1
loop_
_symmetry_equiv_pos_as_xyz
'x,y,z'
loop_
_atom_site_label
_atom_site_type_symbol
_atom_site_fract_x
_atom_site_fract_y
_atom_site_fract_z
Li1 Li 0.0000 0.0000 0.0000
Mn1 Mn 0.5000 0.5000 0.5000
Ag1 Ag 0.2500 0.2500 0.2500
Hg1 Hg 0.7500 0.7500 0.7500
```


# 7
Entry from Alexandria: a geometry-optimized Li2AgHgN structure (PBE).

Results
- E_tot: -3.123 eV/atom
- E_form (uncorrected): -0.0616 eV/atom
- Size of the total moment: 0.00 Bohr magnetons per cell

The structure in CIF format:
```
data_Li2AgHgN
_cell_length_a 4.2039
_cell_length_b 4.2039
_cell_length_c 4.3376
_cell_angle_alpha 90.00
_cell_angle_beta 90.00
_cell_angle_gamma 90.00
_symmetry_space_group_name_H-M 'P 1'
_symmetry_Int_Tables_number 1
loop_
_symmetry_equiv_pos_as_xyz
'x,y,z'
loop_
_atom_site_label
_atom_site_type_symbol
_atom_site_fract_x
_atom_site_fract_y
_atom_site_fract_z
Li1 Li 0.0000 0.5000 0.0000
Li2 Li 0.5000 0.0000 0.0000
Ag1 Ag 0.0000 0.0000 0.5000
Hg1 Hg 0.5000 0.5000 0.5000
N1 N 0.0000 0.0000 0.0000
```


# 8
Entry from Alexandria: a geometry-optimized Na2Li5AgHg2 structure (PBE).

Results
- E_tot: -1.736 eV/atom
- Size of the total moment: 0.00 Bohr magnetons per cell

The structure in CIF format:
```
data_Na2Li5AgHg2
_cell_length_a 10.8129
_cell_length_b 10.8129
_cell_length_c 3.6989
_cell_angle_alpha 90.00
_cell_angle_beta 90.00
_cell_angle_gamma 90.00
_symmetry_space_group_name_H-M 'P 1'
_symmetry_Int_Tables_number 1
loop_
_symmetry_equiv_pos_as_xyz
'x,y,z'
loop_
_atom_site_label
_atom_site_type_symbol
_atom_site_fract_x
_atom_site_fract_y
_atom_site_fract_z
Na1 Na 0.1717 0.3283 0.0000
Na2 Na 0.3283 0.8283 0.0000
Na3 Na 0.6717 0.1717 0.0000
Na4 Na 0.8283 0.6717 0.0000
Li1 Li 0.0000 0.5000 0.5000
Li2 Li 0.0607 0.8116 0.5000
Li3 Li 0.1884 0.0607 0.5000
Li4 Li 0.3116 0.5607 0.5000
Li5 Li 0.4393 0.3116 0.5000
Li6 Li 0.5000 0.0000 0.5000
Li7 Li 0.5607 0.6884 0.5000
Li8 Li 0.6884 0.4393 0.5000
Li9 Li 0.8116 0.9393 0.5000
Li10 Li 0.9393 0.1884 0.5000
Ag1 Ag 0.0000 0.0000 0.0000
Ag2 Ag 0.5000 0.5000 0.0000
Hg1 Hg 0.1290 0.6290 0.0000
Hg2 Hg 0.3710 0.1290 0.0000
Hg3 Hg 0.6290 0.8710 0.0000
Hg4 Hg 0.8710 0.3710 0.0000
```


What is the formula in the second record?
LiMg2AgHg